HgC (meta-GGA SCAN, single point on PBEsol structure); E above lowest polymorph = 0 kJ/mol of formula units; DOS at the Fermi energy = 0.93 states/eV/cell; symmetry = P6_3/mmc (194); uncorrected energy = -38.517 eV/atom
1.0
5.830 0.000 0.000
-2.915 5.049 0.000
0.000 0.000 2.630
Hg C
2 2
Direct
0.333 0.667 0.250
0.667 0.333 0.750
0.000 0.000 0.000
0.000 0.000 0.500

---

HgC (meta-GGA SCAN, single point on PBEsol structure); E above lowest polymorph = 367 kJ/mol of formula units; DOS at the Fermi energy = 2.58 states/eV/cell; symmetry = Cmmm (65); uncorrected energy = -36.613 eV/atom
1.0
3.310 0.000 0.000
0.000 5.686 0.000
0.000 0.000 3.257
Hg C
2 2
Direct
0.000 0.000 0.000
0.500 0.500 0.000
0.000 0.500 0.500
0.500 0.000 0.500

---

Hg3C5 (meta-GGA SCAN, single point on PBEsol structure); DOS at the Fermi energy = 2.70 states/eV/cell; symmetry = P4/mmm (123); uncorrected energy = -29.322 eV/atom
1.0
2.661 0.000 0.000
0.000 2.661 0.000
0.000 0.000 13.370
Hg C
3 5
Direct
0.000 0.000 0.000
0.500 0.500 0.363
0.500 0.500 0.637
0.000 0.000 0.167
0.000 0.000 0.500
0.000 0.000 0.833
0.500 0.500 0.193
0.500 0.500 0.807

---

HgC (meta-GGA SCAN, single point on PBEsol structure); E above lowest polymorph = 342 kJ/mol of formula units; DOS at the Fermi energy = 3.18 states/eV/cell; symmetry = P-62m (189); uncorrected energy = -36.743 eV/atom
1.0
5.699 0.000 0.000
-2.849 4.935 0.000
0.000 0.000 3.244
Hg C
3 3
Direct
0.000 0.000 0.000
0.333 0.667 0.500
0.667 0.333 0.500
0.000 0.385 0.000
0.385 0.000 0.000
0.615 0.615 0.000

---

HgC2SeI (meta-GGA SCAN, single point on PBEsol structure); DOS at the Fermi energy = 1.77 states/eV/cell; raw formation energy = 2116 meV/atom; symmetry = P4/mmm (123); uncorrected energy = -26.921 eV/atom
1.0
4.035 0.000 0.000
0.000 4.035 0.000
0.000 0.000 6.745
Hg C Se I
1 2 1 1
Direct
0.000 0.000 0.000
0.000 0.500 0.500
0.500 0.000 0.500
0.000 0.000 0.500
0.500 0.500 0.000

---

HgTe2CI (meta-GGA SCAN, single point on PBEsol structure); DOS at the Fermi energy = 4.17 states/eV/cell; raw formation energy = 1485 meV/atom; symmetry = P4/mmm (123); uncorrected energy = -36.417 eV/atom
1.0
5.957 0.000 0.000
0.000 5.957 0.000
0.000 0.000 3.912
Hg Te C I
1 2 1 1
Direct
0.000 0.000 0.000
0.000 0.500 0.000
0.500 0.000 0.000
0.000 0.000 0.500
0.500 0.500 0.500

---

HgTeCI2 (meta-GGA SCAN, single point on PBEsol structure); DOS at the Fermi energy = 2.23 states/eV/cell; raw formation energy = 1694 meV/atom; symmetry = P4/mmm (123); uncorrected energy = -36.106 eV/atom
1.0
5.713 0.000 0.000
0.000 5.713 0.000
0.000 0.000 5.639
Hg Te C I
1 1 1 2
Direct
0.000 0.000 0.000
0.000 0.000 0.500
0.500 0.500 0.500
0.000 0.500 0.000
0.500 0.000 0.000

---

NbHgIr2C (meta-GGA SCAN, single point on PBEsol structure); DOS at the Fermi energy = 6.68 states/eV/cell; symmetry = P4/mmm (123); uncorrected energy = -47.080 eV/atom
1.0
4.835 0.000 0.000
0.000 4.835 0.000
0.000 0.000 4.949
Nb Hg Ir C
1 1 2 1
Direct
0.000 0.000 0.000
0.000 0.000 0.500
0.000 0.500 0.500
0.500 0.000 0.500
0.500 0.500 0.000